Arrangement A

A plane-wave DFT calculation with GGA-PBE was carried out for an optimized crystal structure of NaNbRu2.

Cell and atoms, written as POSCAR:
```
NaNbRu2
1.0
0.000 3.160 3.160
3.160 0.000 3.160
3.160 3.160 0.000
Ru Nb Na
2 1 1
direct
0.750 0.750 0.750 Ru
0.250 0.250 0.250 Ru
0.500 0.500 0.500 Nb
0.000 0.000 0.000 Na
```

space group: Fm-3m
magnetization: 0.0 Bohr magnetons per cell

Arrangement B

A plane-wave DFT calculation with GGA-PBE was carried out for an optimized crystal structure of NaNbRu2.

Cell and atoms, written as POSCAR:
```
NaNbRu2
1.0
-3.610 5.944 1.624
-4.422 -3.810 4.115
-2.307 1.495 5.102
Na Ru Nb
2 4 2
direct
0.500 0.500 0.000 Na
0.250 0.750 0.500 Na
0.091 0.625 0.250 Ru
0.875 0.909 0.750 Ru
0.375 0.341 0.750 Ru
0.659 0.125 0.250 Ru
0.000 0.000 0.000 Nb
0.750 0.250 0.500 Nb
```

space group: I-42d
magnetization: 0.0 Bohr magnetons per cell

What is the most stable structure shown above? It is arrangement A.